1.
Crystalline AcCu2As2 at its relaxed geometry, computed with PBE.

Computed properties:
The total energy is -4.957 eV/atom. The value obtained for the offset from the most stable computed form is 11 meV/atom.

a = 6.531 Å, b = 6.531 Å, c = 6.531 Å
α = 143.06°, β = 143.06°, γ = 53.23°
Fractional positions:
Ac 0.000 0.000 0.000
Cu 0.250 0.750 0.500
Cu 0.750 0.250 0.500
As 0.368 0.368 0.000
As 0.632 0.632 0.000

---

2.
Crystalline LiPrUSe3 at its relaxed geometry, computed with PBE.

Computed properties:
The total energy is -6.091 eV/atom. The calculation puts the uncorrected formation energy at -1351 meV per atom.

a = 8.608 Å, b = 3.995 Å, c = 8.946 Å
α = 90.00°, β = 105.29°, γ = 90.00°
Fractional positions:
Li 0.088 0.250 0.089
Li 0.912 0.750 0.911
Pr 0.183 0.250 0.731
Pr 0.817 0.750 0.269
U 0.347 0.750 0.353
U 0.653 0.250 0.647
Se 0.100 0.250 0.373
Se 0.219 0.750 0.007
Se 0.429 0.750 0.693
Se 0.571 0.250 0.307
Se 0.781 0.250 0.993
Se 0.900 0.750 0.627

---

3.
Crystalline KAu2I8 at its relaxed geometry, computed with PBE.

Computed properties:
The total energy is -2.047 eV/atom. The calculation puts the uncorrected formation energy at -224 meV per atom.

a = 9.228 Å, b = 9.228 Å, c = 9.228 Å
α = 126.17°, β = 126.17°, γ = 79.60°
Fractional positions:
K 0.000 0.000 0.000
Au 0.250 0.750 0.500
Au 0.750 0.250 0.500
I 0.058 0.527 0.827
I 0.231 0.058 0.531
I 0.300 0.473 0.531
I 0.473 0.942 0.173
I 0.527 0.700 0.469
I 0.700 0.231 0.173
I 0.769 0.300 0.827
I 0.942 0.769 0.469

---

4.
Crystalline CaHBr at its relaxed geometry, computed with PBE.

Computed properties:
The total energy is -3.682 eV/atom.

a = 3.833 Å, b = 3.833 Å, c = 8.534 Å
α = 90.00°, β = 90.00°, γ = 90.00°
Fractional positions:
Ca 0.250 0.250 0.153
Ca 0.750 0.750 0.847
H 0.250 0.750 0.000
H 0.750 0.250 0.000
Br 0.250 0.250 0.688
Br 0.750 0.750 0.312

---

5.
Crystalline CdAg2GeCl at its relaxed geometry, computed with PBE.

Computed properties:
The total energy is -2.064 eV/atom. The calculation puts the uncorrected formation energy at 552 meV per atom.

a = 5.320 Å, b = 5.320 Å, c = 5.051 Å
α = 90.00°, β = 90.00°, γ = 90.00°
Fractional positions:
Cd 0.000 0.000 0.000
Ag 0.000 0.500 0.000
Ag 0.500 0.000 0.000
Ge 0.000 0.000 0.500
Cl 0.500 0.500 0.500

---

6.
Crystalline Na4Al3Si3HO13 at its relaxed geometry, computed with PBE.

Computed properties:
The total energy is -6.775 eV/atom.

a = 8.828 Å, b = 8.828 Å, c = 8.828 Å
α = 90.35°, β = 90.35°, γ = 90.35°
Fractional positions:
Na 0.000 0.000 0.000
Na 0.306 0.980 0.307
Na 0.307 0.306 0.980
Na 0.480 0.806 0.807
Na 0.500 0.500 0.500
Na 0.806 0.807 0.480
Na 0.807 0.480 0.806
Na 0.980 0.307 0.306
Al 0.146 0.647 0.898
Al 0.147 0.646 0.398
Al 0.398 0.147 0.646
Al 0.646 0.398 0.147
Al 0.647 0.898 0.146
Al 0.898 0.146 0.647
Si 0.147 0.897 0.649
Si 0.149 0.397 0.647
Si 0.397 0.647 0.149
Si 0.647 0.149 0.397
Si 0.649 0.147 0.897
Si 0.897 0.649 0.147
H 0.226 0.226 0.226
H 0.726 0.726 0.726
O 0.001 0.722 0.012
O 0.011 0.293 0.573
O 0.012 0.001 0.722
O 0.073 0.793 0.511
O 0.075 0.499 0.784
O 0.162 0.162 0.162
O 0.219 0.794 0.785
O 0.222 0.501 0.512
O 0.284 0.999 0.575
O 0.285 0.294 0.719
O 0.293 0.573 0.011
O 0.294 0.719 0.285
O 0.499 0.784 0.075
O 0.501 0.512 0.222
O 0.511 0.073 0.793
O 0.512 0.222 0.501
O 0.573 0.011 0.293
O 0.575 0.284 0.999
O 0.662 0.662 0.662
O 0.719 0.285 0.294
O 0.722 0.012 0.001
O 0.784 0.075 0.499
O 0.785 0.219 0.794
O 0.793 0.511 0.073
O 0.794 0.785 0.219
O 0.999 0.575 0.284

---

7.
Crystalline DyYU2S4 at its relaxed geometry, computed with PBE.

Computed properties:
The total energy is -7.553 eV/atom. The calculation puts the uncorrected formation energy at -1284 meV per atom.

a = 4.779 Å, b = 4.802 Å, c = 6.892 Å
α = 90.00°, β = 90.00°, γ = 90.00°
Fractional positions:
Dy 0.000 0.000 0.000
Y 0.500 0.500 0.000
U 0.000 0.000 0.500
U 0.500 0.500 0.500
S 0.000 0.500 0.248
S 0.000 0.500 0.752
S 0.500 0.000 0.248
S 0.500 0.000 0.752

---

8.
Crystalline Ba3ScTl4 at its relaxed geometry, computed with PBE.

Computed properties:
The total energy is -3.018 eV/atom.

a = 3.925 Å, b = 3.925 Å, c = 17.964 Å
α = 90.00°, β = 90.00°, γ = 90.00°
Fractional positions:
Ba 0.000 0.000 0.000
Ba 0.000 0.000 0.274
Ba 0.000 0.000 0.726
Sc 0.000 0.000 0.500
Tl 0.500 0.500 0.138
Tl 0.500 0.500 0.410
Tl 0.500 0.500 0.590
Tl 0.500 0.500 0.862